TiCuPd3, relaxed, DFT PBE; N(E_F) = 3.00 states/eV per cell; distance to the lowest polymorph of the same formula = 534.2 kJ/mol of formula units; size of the total moment = 0.000 μB/f.u.; formation energy from the elements = 0.630 eV/atom
1.0
4.623 0.000 0.000
0.000 4.623 0.000
0.000 0.000 4.623
Ti Cu Pd
1 1 3
Direct
0.000 0.000 0.000
0.500 0.500 0.500
0.000 0.000 0.500
0.000 0.500 0.000
0.500 0.000 0.000



Ti2CuPd6, relaxed, DFT PBE; N(E_F) = 6.39 states/eV per cell; distance to the lowest polymorph of the same formula = 123.2 kJ/mol of formula units; size of the total moment = 0.000 μB/f.u.; formation energy from the elements = -0.345 eV/atom
1.0
-2.310 3.615 4.236
2.310 -3.615 4.236
2.310 3.615 -4.236
Ti Cu Pd
2 1 6
Direct
0.180 0.180 0.000
0.820 0.820 0.000
0.500 0.500 0.000
0.027 0.337 0.691
0.303 0.000 0.303
0.354 0.663 0.691
0.646 0.337 0.309
0.697 0.000 0.697
0.973 0.663 0.309



Ti3CuPd4, relaxed, DFT PBE; N(E_F) = 12.39 states/eV per cell; distance to the lowest polymorph of the same formula = 0.0 kJ/mol of formula units; size of the total moment = 1.096 μB/f.u.; formation energy from the elements = -0.496 eV/atom
1.0
9.105 0.000 0.000
0.000 5.583 0.000
0.000 0.000 4.776
Ti Cu Pd
6 2 8
Direct
0.000 0.000 0.000
0.250 0.000 0.387
0.250 0.500 0.349
0.500 0.000 0.000
0.750 0.000 0.613
0.750 0.500 0.651
0.000 0.500 0.000
0.500 0.500 0.000
0.000 0.253 0.500
0.000 0.747 0.500
0.250 0.252 0.870
0.250 0.748 0.870
0.500 0.253 0.500
0.500 0.747 0.500
0.750 0.252 0.130
0.750 0.748 0.130



Ti3CuPd2, relaxed, DFT PBE; N(E_F) = 6.18 states/eV per cell; size of the total moment = 0.610 μB/f.u.; formation energy from the elements = -0.376 eV/atom
1.0
1.963 -5.947 0.000
1.963 5.947 0.000
0.000 0.000 3.909
Ti Cu Pd
3 1 2
Direct
0.000 0.000 0.000
0.335 0.665 0.000
0.665 0.335 0.000
0.500 0.500 0.500
0.163 0.837 0.500
0.837 0.163 0.500



TiCu6Pd12, relaxed, DFT PBE; N(E_F) = 11.42 states/eV per cell; distance to the lowest polymorph of the same formula = 170.5 kJ/mol of formula units; size of the total moment = 0.000 μB/f.u.; formation energy from the elements = -0.107 eV/atom
1.0
4.628 2.672 3.787
-4.628 2.672 3.787
0.000 -5.344 3.787
Ti Cu Pd
1 6 12
Direct
0.000 0.000 0.000
0.115 0.269 0.727
0.269 0.727 0.115
0.273 0.885 0.731
0.727 0.115 0.269
0.731 0.273 0.885
0.885 0.731 0.273
0.020 0.364 0.150
0.150 0.020 0.364
0.197 0.564 0.470
0.364 0.150 0.020
0.436 0.530 0.803
0.470 0.197 0.564
0.530 0.803 0.436
0.564 0.470 0.197
0.636 0.850 0.980
0.803 0.436 0.530
0.850 0.980 0.636
0.980 0.636 0.850



TiCuPd6, relaxed, DFT PBE; N(E_F) = 8.75 states/eV per cell; distance to the lowest polymorph of the same formula = 0.0 kJ/mol of formula units; size of the total moment = 0.000 μB/f.u.; formation energy from the elements = -0.371 eV/atom
1.0
5.545 0.000 0.000
0.000 5.545 0.000
0.000 0.000 3.890
Ti Cu Pd
1 1 6
Direct
0.000 0.000 0.000
0.500 0.500 0.000
0.000 0.500 0.000
0.249 0.249 0.500
0.249 0.751 0.500
0.500 0.000 0.000
0.751 0.249 0.500
0.751 0.751 0.500